Be2SiPb after structural relaxation. Source: Alexandria, functional PBE-GGA.

Cell and atoms, written as POSCAR:
```
Be2SiPb
1.0
3.530 0.000 0.000
0.000 3.525 0.000
-0.653 0.000 5.523
Be Si Pb
2 1 1
Direct
0.000 0.000 0.000
0.034 0.500 0.224
0.542 0.000 0.236
0.502 0.500 0.702
```

density	6.12	g/cm³
energy	-3.668	eV/atom
ΔE_f (raw)	0.478	eV per atom
energy relative to the lowest polymorph listed for this composition	221.9	meV/atom
space group	Pm (6)


GaTc3Ag after structural relaxation. Source: Alexandria, functional PBE-GGA.

Cell and atoms, written as POSCAR:
```
GaTc3Ag
1.0
4.890 0.000 0.000
0.000 4.890 0.000
0.000 0.000 4.890
Ga Tc Ag
1 3 1
Direct
0.000 0.000 0.000
0.000 0.500 0.500
0.500 0.000 0.500
0.500 0.500 0.000
0.500 0.500 0.500
```

density	6.70	g/cm³
energy	-5.029	eV/atom
ΔH_f (0 K)	2367	meV per atom
energy relative to the lowest polymorph listed for this composition	767.4	meV/atom
space group	Pm-3m (221)


Ho3Mg3In2Hg after structural relaxation. Source: Alexandria, functional PBE-GGA.

Cell and atoms, written as POSCAR:
```
Ho3Mg3In2Hg
1.0
7.507 0.000 0.000
-3.753 6.501 0.000
0.000 0.000 4.589
Ho Mg In Hg
3 3 2 1
Direct
0.000 0.421 0.000
0.421 0.000 0.000
0.579 0.579 0.000
0.000 0.761 0.500
0.239 0.239 0.500
0.761 0.000 0.500
0.333 0.667 0.500
0.667 0.333 0.500
0.000 0.000 0.000
```

density	7.40	g/cm³
energy	-3.103	eV/atom
ΔH_f (0 K)	-404	meV per atom
space group	P-62m (189)


Sr2Pr3Pt2 after structural relaxation. Source: Alexandria, functional PBE-GGA.

Cell and atoms, written as POSCAR:
```
Sr2Pr3Pt2
1.0
6.671 -2.056 0.000
6.671 2.056 0.000
-4.738 0.000 8.447
Sr Pr Pt
2 3 2
Direct
0.167 0.167 0.301
0.833 0.833 0.699
0.378 0.378 0.066
0.500 0.500 0.500
0.622 0.622 0.934
0.162 0.162 0.749
0.838 0.838 0.251
```

density	7.08	g/cm³
energy	-4.898	eV/atom
ΔH_f (0 K)	-643	meV per atom
space group	C2/m (12)


Cd2InPd2 after structural relaxation. Source: Alexandria, functional PBE-GGA.

Cell and atoms, written as POSCAR:
```
Cd2InPd2
1.0
-2.021 2.021 6.608
2.021 -2.021 6.608
2.021 2.021 -6.608
Cd In Pd
2 1 2
Direct
0.110 0.110 0.000
0.890 0.890 0.000
0.500 0.500 0.000
0.250 0.750 0.500
0.750 0.250 0.500
```

density	8.50	g/cm³
energy	-3.022	eV/atom
ΔH_f (0 K)	-31	meV per atom
energy relative to the lowest polymorph listed for this composition	317.6	meV/atom
space group	I4/mmm (139)


Ca4CuAs after structural relaxation. Source: Alexandria, functional PBE-GGA.

Cell and atoms, written as POSCAR:
```
Ca4CuAs
1.0
0.000 4.568 4.568
4.568 0.000 4.568
4.568 4.568 0.000
Ca Cu As
4 1 1
Direct
0.376 0.376 0.376
0.376 0.376 0.872
0.376 0.872 0.376
0.872 0.376 0.376
0.000 0.000 0.000
0.750 0.750 0.750
```

density	2.60	g/cm³
energy	-2.349	eV/atom
ΔH_f (0 K)	443	meV per atom
space group	F-43m (216)


The highest density belongs to which entry?
Cd2InPd2


Look up the energy of the third one.
-3.103 eV/atom


What is the density in the first record?
6.12 g/cm³